The following is a PBE calculation of V4CoPt12 after structural relaxation, from the Alexandria database.

abc: 7.028 7.028 7.028
angles: 109.47 109.47 109.47
Fractional coordinates of all 17 atoms:
Co  0.000  0.000  0.000
V  0.000  0.500  0.000
V  0.000  0.000  0.500
V  0.500  0.500  0.500
V  0.500  0.000  0.000
Pt  0.250  0.750  0.500
Pt  0.750  0.250  0.500
Pt  0.284  0.284  0.000
Pt  0.000  0.284  0.284
Pt  0.250  0.500  0.750
Pt  0.716  0.000  0.716
Pt  0.750  0.500  0.250
Pt  0.716  0.716  0.000
Pt  0.284  0.000  0.284
Pt  0.500  0.750  0.250
Pt  0.500  0.250  0.750
Pt  0.000  0.716  0.716

Properties
Energy of formation, kJ/mol of formula units: -199
Symmetry: Im-3m (229)
Density of states at the Fermi level, states/eV per cell: 22.823
Raw total energy, eV for the cell shown: -118.13